# Li2Mn2P

A geometry-optimized Li2Mn2P structure (GGA-PBE, Alexandria via LeMat-Bulk).

Results
Its volume is 76.4 Å³ per cell. Its spin magnetization is 0.897 μB/f.u. The value obtained for the total energy is -5.17 eV per atom.

Unit cell a=8.7063 b=8.7063 c=8.7063 alpha=160.10 beta=160.10 gamma=28.28
Positions (direct):
Li: 0.0985 0.0985 0.0000
Li: 0.9015 0.9015 0.0000
Mn: 0.2500 0.7500 0.5000
Mn: 0.7500 0.2500 0.5000
P: 0.5000 0.5000 0.0000